# 1
# Ta2MnCo

Ta2MnCo at its PBEsol-relaxed geometry (meta-GGA SCAN, Alexandria).

Results
* E above lowest polymorph: 0.0080 eV per atom
* crystal system: cubic
* raw total energy: -169.7 eV/cell

Geometry as POSCAR:
```
Ta2MnCo
1.0
4.285 0.000 0.000
2.142 3.711 0.000
2.142 1.237 3.498
Mn Co Ta
1 1 2
direct
0.000 0.000 0.000
0.500 0.500 0.500
0.250 0.250 0.250
0.750 0.750 0.750
```

# 2
# Ta3MnCo

Ta3MnCo at its PBEsol-relaxed geometry (meta-GGA SCAN, Alexandria).

Results
* crystal system: cubic
* raw total energy: -231.4 eV/cell

Geometry as POSCAR:
```
Ta3MnCo
1.0
-1.434 3.408 -2.593
-2.961 -2.764 -1.995
-3.093 1.067 3.112
Mn Co Ta
1 1 3
direct
0.500 0.500 0.500
0.000 0.000 0.000
0.000 0.500 0.000
0.000 0.000 0.500
0.500 0.000 0.000
```

# 3
# TaMn2Co

TaMn2Co at its PBEsol-relaxed geometry (meta-GGA SCAN, Alexandria).

Results
* crystal system: trigonal
* raw total energy: -119.6 eV/cell

Geometry as POSCAR:
```
TaMn2Co
1.0
2.650 0.000 0.000
1.325 2.295 0.000
1.325 0.765 8.255
Co Mn Ta
1 2 1
direct
0.257 0.257 0.228
0.001 0.001 0.997
0.741 0.741 0.778
0.501 0.501 0.496
```

# 4
# Ta2MnCo

Ta2MnCo at its PBEsol-relaxed geometry (meta-GGA SCAN, Alexandria).

Results
* E above lowest polymorph: 0.0000 eV per atom
* crystal system: tetragonal
* raw total energy: -169.8 eV/cell

Geometry as POSCAR:
```
Ta2MnCo
1.0
-1.788 1.302 2.071
1.323 -1.642 2.175
4.100 4.361 0.798
Mn Co Ta
1 1 2
direct
0.500 0.500 0.500
0.500 0.500 0.000
0.000 0.000 0.748
0.000 0.000 0.252
```

# 5
# Mn2CoTc

Mn2CoTc at its PBEsol-relaxed geometry (meta-GGA SCAN, Alexandria).

Results
* crystal system: tetragonal
* raw total energy: -88.9 eV/cell

Geometry as POSCAR:
```
Mn2CoTc
1.0
3.566 0.000 0.000
0.000 3.566 0.000
-1.783 -1.783 3.550
Co Mn Tc
1 2 1
direct
0.250 0.750 0.500
0.000 0.000 0.000
0.750 0.250 0.500
0.500 0.500 0.000
```

# 6
# Mn2CoTc

Mn2CoTc at its PBEsol-relaxed geometry (meta-GGA SCAN, Alexandria).

Results
* crystal system: monoclinic
* raw total energy: -88.7 eV/cell

Geometry as POSCAR:
```
Mn2CoTc
1.0
2.500 0.000 0.058
0.000 4.033 0.000
-0.730 0.000 4.611
Co Mn Tc
1 2 1
direct
0.000 0.500 0.500
0.765 0.000 0.741
0.235 0.000 0.259
0.500 0.500 0.000
```

# 7
# MnCo6Tc

MnCo6Tc at its PBEsol-relaxed geometry (meta-GGA SCAN, Alexandria).

Results
* crystal system: orthorhombic
* raw total energy: -622.8 eV/cell

Geometry as POSCAR:
```
MnCo6Tc
1.0
6.028 -0.003 0.000
-2.016 5.680 0.000
0.000 0.000 9.849
Co Mn Tc
24 4 4
direct
0.250 0.750 0.749
0.876 0.626 0.875
0.124 0.374 0.875
0.750 0.250 0.749
0.374 0.124 0.875
0.626 0.876 0.875
0.500 0.500 0.500
0.124 0.374 0.624
0.374 0.124 0.624
0.250 0.750 0.251
0.876 0.626 0.376
0.124 0.374 0.376
0.750 0.250 0.251
0.374 0.124 0.376
0.626 0.876 0.376
0.500 0.500 0.000
0.124 0.374 0.125
0.374 0.124 0.125
0.000 0.000 0.500
0.626 0.876 0.624
0.876 0.626 0.624
0.000 0.000 0.000
0.626 0.876 0.125
0.876 0.626 0.125
0.253 0.747 0.500
0.747 0.253 0.500
0.000 0.000 0.746
0.000 0.000 0.254
0.251 0.749 0.000
0.749 0.251 0.000
0.500 0.500 0.746
0.500 0.500 0.254
```

# 8
# Mn2CoTc

Mn2CoTc at its PBEsol-relaxed geometry (meta-GGA SCAN, Alexandria).

Results
* crystal system: tetragonal
* raw total energy: -89.6 eV/cell

Geometry as POSCAR:
```
Mn2CoTc
1.0
-0.569 -1.011 -2.619
-1.799 -1.921 1.132
-4.374 3.794 -0.514
Mn Co Tc
2 1 1
direct
0.000 0.000 0.737
0.000 0.000 0.263
0.500 0.500 0.500
0.500 0.500 0.000
```

Calculated M_tot, 1.7, 3.9, 1.5, 1.8, 0.0, 6.6, 16.4, 6.4 μB/cell (same order as the records).